No. 1
Here is an optimized crystal structure of K2TeHAu from Alexandria. Energies are from GGA-PBE.

Structure (extended XYZ):
```
5
Lattice="-5.569 0.170 -2.548 2.356 -2.014 -5.285 -0.587 -3.449 1.053" Properties=species:S:1:pos:R:3 pbc="T T T"
H 0.000 0.000 0.000
K 1.178 -1.007 -2.642
K -2.785 0.085 -1.274
Te -1.900 -2.646 -3.390
Au -0.294 -1.724 0.526
```

total DFT energy (no corrections): -2.871 eV per atom
D(E_F): 2.117 states/eV per cell

No. 2
Here is an optimized crystal structure of KTlH6Au2 from Alexandria. Energies are from GGA-PBE.

Structure (extended XYZ):
```
20
Lattice="6.978 -0.774 0.073 -1.623 6.831 0.073 -1.474 -1.667 6.790" Properties=species:S:1:pos:R:3 pbc="T T T"
K -1.270 5.777 1.770
K 5.152 -1.386 5.165
Tl 3.774 1.317 1.770
Tl 0.108 3.073 5.165
H 6.270 0.613 1.099
H 4.778 -1.075 2.442
H -2.389 3.777 5.837
H -0.896 5.465 4.494
H 1.433 2.160 0.270
H 2.650 3.537 3.271
H 2.449 2.230 6.666
H 1.232 0.853 3.665
H -0.662 3.195 2.616
H 1.367 5.489 0.925
H 4.544 1.195 4.320
H 2.515 -1.099 6.011
Au 1.823 -0.161 4.826
Au 3.528 1.767 5.505
Au 2.058 4.551 2.110
Au 0.354 2.623 1.431
```

total DFT energy (no corrections): -2.992 eV per atom

No. 3
Here is an optimized crystal structure of K2ZnH6Au from Alexandria. Energies are from GGA-PBE.

Structure (extended XYZ):
```
10
Lattice="-2.021 -0.292 5.109 3.987 -3.534 1.375 3.492 1.377 4.424" Properties=species:S:1:pos:R:3 pbc="T T T"
K 1.227 -0.414 6.387
K 4.231 -2.035 4.521
Zn 0.000 0.000 0.000
H 2.537 0.125 3.974
H 4.921 -1.403 9.136
H 2.345 -2.648 2.396
H -0.379 -1.178 4.088
H 0.537 -1.046 1.772
H 2.921 -2.574 6.934
Au 0.983 -1.913 3.242
```

total DFT energy (no corrections): -2.776 eV per atom
D(E_F): 2.324 states/eV per cell

No. 4
Here is an optimized crystal structure of LaHAu from Alexandria. Energies are from GGA-PBE.

Structure (extended XYZ):
```
6
Lattice="-2.130 6.241 2.491 -1.812 -5.929 -3.355 -0.962 -1.819 3.734" Properties=species:S:1:pos:R:3 pbc="T T T"
La -2.802 2.986 4.384
La -2.102 -4.493 -1.513
H -2.292 2.781 1.981
H -2.612 -4.288 0.889
Au -2.190 -1.131 0.102
Au -2.714 -0.376 2.769
```

D(E_F): 3.163 states/eV per cell
offset from the most stable computed form: 0.000 eV/atom